The following is a PBE calculation of an optimized crystal structure of Th2Sc3In4, from Alexandria.

The structure in POSCAR format:
```
Th2Sc3In4
1.0
3.324 -8.310 0.000
3.324 8.310 0.000
0.000 0.000 8.642
Th Sc In
4 6 8
Direct
0.110 0.890 0.912
0.390 0.610 0.412
0.610 0.390 0.588
0.890 0.110 0.088
0.000 0.000 0.500
0.030 0.470 0.750
0.470 0.030 0.250
0.500 0.500 0.000
0.530 0.970 0.750
0.970 0.530 0.250
0.180 0.820 0.542
0.204 0.296 0.750
0.296 0.204 0.250
0.320 0.680 0.042
0.680 0.320 0.958
0.704 0.796 0.750
0.796 0.704 0.250
0.820 0.180 0.458
```

Output
The value obtained for the calculated volume is 239 Å³/f.u. The value obtained for the energy is -5.250 eV/atom.